Density functional theory data (PBE-GGA) for DyHo2Sc6 after structural relaxation. Values from VASP.

The structure in Quantum ESPRESSO input format:
```
&SYSTEM
  ibrav = 0, nat = 9, ntyp = 3
/
ATOMIC_SPECIES
Dy 162.50 Dy.upf
Ho 164.93 Ho.upf
Sc 44.96 Sc.upf
ATOMIC_POSITIONS angstrom
Dy 0.0000 0.0000 0.0000
Ho 5.2931 0.0000 3.2772
Ho 10.5959 0.0000 0.0003
Sc 10.5956 -3.0566 1.6387
Sc 5.2934 3.0566 1.6388
Sc 10.5956 3.0566 1.6387
Sc 7.9445 1.5272 1.6387
Sc 5.2934 -3.0566 1.6388
Sc 7.9445 -1.5272 1.6387
CELL_PARAMETERS angstrom
7.9469 -4.5870 0.0000
7.9469 4.5870 0.0000
-0.0049 0.0000 3.2775
```

Output
Space-group type: C2/m (12)
Energy above the lowest structure with this stoichiometry in eV per atom: 0.0000
DFT total energy in eV per cell: -51.16
Volume in Å³ per cell: 238.95